# VAgAsO6 (GGA+U, optimized geometry)
data_VAgAsO6
_chemical_formula_sum 'V2 Ag2 As2 O12'
_symmetry_space_group_name_H-M 'P -3 1 c'
_symmetry_Int_Tables_number 163
_symmetry_space_group_name_Hall '-P 3 2c'
_cell_length_a 5.0174
_cell_length_b 5.0174
_cell_length_c 9.6216
_cell_angle_alpha 90.00
_cell_angle_beta 90.00
_cell_angle_gamma 120.00
loop_
_atom_site_label
_atom_site_type_symbol
_atom_site_fract_x
_atom_site_fract_y
_atom_site_fract_z
_atom_site_occupancy
V1 V 0.3333 0.6667 0.2500 1
Ag1 Ag 0.0000 0.0000 0.0000 1
As1 As 0.3333 0.6667 0.7500 1
O1 O 0.0060 0.3795 0.6434 1
# **Total energy**: -6.0804 eV per atom
# **Total magnetization**: 0.00 μB per formula unit